No. 1
DFT (PBE) results for a relaxed Li2NdYHg4 crystal.

```
8
Lattice="5.080 0.000 0.000 2.540 4.399 0.000 2.540 1.466 8.342" Properties=species:S:1:pos:R:3 pbc="T T T"
Li 7.620 4.399 6.215
Hg 2.540 1.466 5.170
Hg 5.080 2.933 1.109
Li 2.540 1.466 2.127
Nd 0.000 0.000 0.000
Y 5.080 2.933 4.171
Hg 5.080 2.933 7.233
Hg 7.620 4.399 3.172
```

Computed properties:
Symmetry: R-3m
N(E_F) (states/eV/cell): 5.8


No. 2
DFT (PBE) results for a relaxed Li2NiHg2 crystal.

```
10
Lattice="7.000 0.000 0.000 0.000 7.000 0.000 0.000 0.000 3.680" Properties=species:S:1:pos:R:3 pbc="T T T"
Hg 5.938 4.562 0.000
Li 1.110 4.610 1.840
Ni 0.000 0.000 0.000
Li 2.390 1.110 1.840
Hg 2.438 5.938 0.000
Hg 4.562 1.062 0.000
Li 4.610 5.890 1.840
Ni 3.500 3.500 0.000
Hg 1.062 2.438 0.000
Li 5.890 2.390 1.840
```

Computed properties:
Offset from the most stable computed form (meV/atom): 0
Symmetry: P4/mbm
N(E_F) (states/eV/cell): 3.8


No. 3
DFT (PBE) results for a relaxed Li2Ni2Hg crystal.

```
10
Lattice="6.523 0.000 0.000 0.000 6.523 0.000 0.000 0.000 3.472" Properties=species:S:1:pos:R:3 pbc="T T T"
Hg 3.261 3.261 0.000
Ni 0.810 2.451 0.000
Li 1.107 4.368 1.736
Hg 0.000 0.000 0.000
Li 2.155 1.107 1.736
Li 5.416 2.155 1.736
Ni 4.072 0.810 0.000
Ni 2.451 5.712 0.000
Li 4.368 5.416 1.736
Ni 5.712 4.072 0.000
```

Computed properties:
Offset from the most stable computed form (meV/atom): 0
Symmetry: P4/mbm
N(E_F) (states/eV/cell): 1.7


Number 1: raw total energy -19.86 eV/cell. Number 2: raw total energy -20.81 eV/cell. Number 3: raw total energy -30.93 eV/cell.